Compound: La3RuPb
Source: Alexandria via LeMat-Bulk
Functional: meta-GGA SCAN
Structure: single point on PBEsol structure

Cell lengths 7.518, 7.518, 7.518 Å; angles 61.34, 61.34, 61.34 degrees
Fractional coordinates of all 10 atoms:
1 Pb 0.750 0.750 0.750
2 Pb 0.250 0.250 0.250
3 Ru 0.500 0.500 0.500
4 Ru 0.000 0.000 0.000
5 La 0.750 0.307 0.193
6 La 0.807 0.250 0.693
7 La 0.693 0.807 0.250
8 La 0.250 0.693 0.807
9 La 0.307 0.193 0.750
10 La 0.193 0.750 0.307

As for the magnetization: 0.00 Bohr magnetons per cell. The calculation puts the uncorrected energy at -48.604 eV/atom. For the energy relative to the elements, the calculation gives -0.62 eV/atom. For the excess energy over the best structure of this formula in the dataset, the calculation gives 0.0 meV/atom. As for the density of states at the Fermi level: 4.86 states/eV per cell.

---

Compound: LaRuPb2
Source: Alexandria via LeMat-Bulk
Functional: meta-GGA SCAN
Structure: single point on PBEsol structure

Cell lengths 3.461, 3.461, 9.585 Å; angles 79.60, 79.60, 60.00 degrees
Fractional coordinates of all 4 atoms:
1 La 0.000 0.000 0.000
2 Pb 0.235 0.235 0.296
3 Pb 0.765 0.765 0.704
4 Ru 0.500 0.500 0.500

As for the magnetization: 0.01 Bohr magnetons per cell. The calculation puts the uncorrected energy at -57.259 eV/atom. For the energy relative to the elements, the calculation gives 0.11 eV/atom. As for the density of states at the Fermi level: 4.45 states/eV per cell.

---

Compound: LaRuPb2
Source: Alexandria via LeMat-Bulk
Functional: meta-GGA SCAN
Structure: single point on PBEsol structure

Cell lengths 5.063, 5.063, 5.063 Å; angles 60.00, 60.00, 60.00 degrees
Fractional coordinates of all 4 atoms:
1 La 0.000 0.000 0.000
2 Pb 0.250 0.250 0.250
3 Pb 0.750 0.750 0.750
4 Ru 0.500 0.500 0.500

As for the magnetization: 0.00 Bohr magnetons per cell. The calculation puts the uncorrected energy at -57.461 eV/atom. For the energy relative to the elements, the calculation gives -0.09 eV/atom. As for the density of states at the Fermi level: 1.87 states/eV per cell.

---

Compound: LaRuPb2
Source: Alexandria via LeMat-Bulk
Functional: meta-GGA SCAN
Structure: single point on PBEsol structure

Cell lengths 3.389, 5.390, 6.172 Å; angles 115.89, 105.93, 90.00 degrees
Fractional coordinates of all 4 atoms:
1 La 0.000 0.500 0.000
2 Pb 0.790 0.790 0.579
3 Pb 0.210 0.210 0.421
4 Ru 0.500 0.000 0.000

As for the magnetization: 0.01 Bohr magnetons per cell. The calculation puts the uncorrected energy at -57.510 eV/atom. For the energy relative to the elements, the calculation gives -0.14 eV/atom. As for the density of states at the Fermi level: 3.21 states/eV per cell.

---

Compound: La5Pb3S
Source: Alexandria via LeMat-Bulk
Functional: meta-GGA SCAN
Structure: single point on PBEsol structure

Cell lengths 6.942, 9.562, 9.562 Å; angles 120.00, 90.00, 90.00 degrees
Fractional coordinates of all 18 atoms:
1 La 0.750 0.242 0.242
2 La 0.750 0.000 0.758
3 La 0.750 0.758 0.000
4 La 0.250 0.758 0.758
5 La 0.250 0.000 0.242
6 La 0.250 0.242 0.000
7 La 0.500 0.667 0.333
8 La 0.500 0.333 0.667
9 La 0.000 0.333 0.667
10 La 0.000 0.667 0.333
11 Pb 0.750 0.604 0.604
12 Pb 0.750 0.000 0.396
13 Pb 0.750 0.396 0.000
14 Pb 0.250 0.396 0.396
15 Pb 0.250 0.000 0.604
16 Pb 0.250 0.604 0.000
17 S 0.500 0.000 0.000
18 S 0.000 0.000 0.000

As for the magnetization: 0.00 Bohr magnetons per cell. The formation energy (no corrections) is -1290 meV per atom. The calculation puts the uncorrected energy at -51.567 eV/atom. As for the density of states at the Fermi level: 9.54 states/eV per cell.

---

Compound: LaPb3S
Source: Alexandria via LeMat-Bulk
Functional: meta-GGA SCAN
Structure: single point on PBEsol structure

Cell lengths 5.978, 5.978, 5.978 Å; angles 90.00, 90.00, 90.00 degrees
Each line ends with the local moment (μB).
Fractional coordinates of all 5 atoms:
1 Pb 0.000 0.500 0.000  0.10
2 Pb 0.000 0.000 0.500  0.10
3 Pb 0.500 0.000 0.000  0.10
4 S 0.500 0.500 0.500  0.73
5 La 0.000 0.000 0.000  0.20

As for the magnetization: 2.37 Bohr magnetons per cell. The formation energy (no corrections) is 867 meV per atom. The calculation puts the uncorrected energy at -55.148 eV/atom. As for the density of states at the Fermi level: 5.54 states/eV per cell.

---

Compound: LaTc2PbS
Source: Alexandria via LeMat-Bulk
Functional: meta-GGA SCAN
Structure: single point on PBEsol structure

Cell lengths 4.678, 4.678, 6.231 Å; angles 90.00, 90.00, 90.00 degrees
Each line ends with the local moment (μB).
Fractional coordinates of all 5 atoms:
1 Pb 0.000 0.000 0.500  -0.05
2 S 0.500 0.500 0.500  0.19
3 Tc 0.000 0.500 0.000  1.82
4 Tc 0.500 0.000 0.000  1.82
5 La 0.000 0.000 0.000  -0.01

As for the magnetization: 4.03 Bohr magnetons per cell. The formation energy (no corrections) is 1782 meV per atom. The calculation puts the uncorrected energy at -37.944 eV/atom. As for the density of states at the Fermi level: 3.04 states/eV per cell.

---

Compound: La2SbPb
Source: Alexandria via LeMat-Bulk
Functional: meta-GGA SCAN
Structure: single point on PBEsol structure

Cell lengths 4.431, 4.431, 8.390 Å; angles 74.69, 74.69, 60.00 degrees
Fractional coordinates of all 4 atoms:
1 Pb 0.500 0.500 0.500
2 Sb 0.000 0.000 0.000
3 La 0.746 0.746 0.762
4 La 0.254 0.254 0.238

As for the magnetization: 0.00 Bohr magnetons per cell. The formation energy (no corrections) is -1077 meV per atom. The calculation puts the uncorrected energy at -50.890 eV/atom. As for the density of states at the Fermi level: 2.63 states/eV per cell.

---

Compound: La2SbPb
Source: Alexandria via LeMat-Bulk
Functional: meta-GGA SCAN
Structure: single point on PBEsol structure

Cell lengths 5.549, 5.549, 5.549 Å; angles 60.00, 60.00, 60.00 degrees
Fractional coordinates of all 4 atoms:
1 La 0.250 0.250 0.250
2 La 0.750 0.750 0.750
3 Pb 0.000 0.000 0.000
4 Sb 0.500 0.500 0.500

As for the magnetization: 0.00 Bohr magnetons per cell. The formation energy (no corrections) is -897 meV per atom. The calculation puts the uncorrected energy at -50.710 eV/atom. As for the density of states at the Fermi level: 5.30 states/eV per cell.

---

Compound: LaSb2Pb
Source: Alexandria via LeMat-Bulk
Functional: meta-GGA SCAN
Structure: single point on PBEsol structure

Cell lengths 4.387, 4.387, 6.574 Å; angles 90.00, 90.00, 90.00 degrees
Fractional coordinates of all 4 atoms:
1 La 0.000 0.000 0.436
2 Pb 0.500 0.500 0.800
3 Sb 0.000 0.000 0.928
4 Sb 0.500 0.500 0.335

As for the magnetization: 0.00 Bohr magnetons per cell. The formation energy (no corrections) is -613 meV per atom. The calculation puts the uncorrected energy at -48.964 eV/atom. As for the density of states at the Fermi level: 1.76 states/eV per cell.

---

Compound: LaSb2Pb
Source: Alexandria via LeMat-Bulk
Functional: meta-GGA SCAN
Structure: single point on PBEsol structure

Cell lengths 4.468, 4.994, 4.994 Å; angles 90.00, 90.00, 90.00 degrees
Fractional coordinates of all 4 atoms:
1 Pb 0.500 0.000 0.000
2 Sb 0.000 0.000 0.500
3 Sb 0.000 0.500 0.000
4 La 0.500 0.500 0.500

As for the magnetization: 0.00 Bohr magnetons per cell. The formation energy (no corrections) is -668 meV per atom. The calculation puts the uncorrected energy at -49.020 eV/atom. As for the density of states at the Fermi level: 2.31 states/eV per cell.

---

Compound: La2SbPb
Source: Alexandria via LeMat-Bulk
Functional: meta-GGA SCAN
Structure: single point on PBEsol structure

Cell lengths 3.382, 5.904, 5.904 Å; angles 90.00, 90.00, 90.00 degrees
Fractional coordinates of all 4 atoms:
1 La 0.000 0.000 0.500
2 La 0.000 0.500 0.000
3 Pb 0.500 0.500 0.500
4 Sb 0.500 0.000 0.000

As for the magnetization: 0.00 Bohr magnetons per cell. The formation energy (no corrections) is -977 meV per atom. The calculation puts the uncorrected energy at -50.790 eV/atom. As for the density of states at the Fermi level: 2.92 states/eV per cell.

---

Compound: La2SbPb
Source: Alexandria via LeMat-Bulk
Functional: meta-GGA SCAN
Structure: single point on PBEsol structure

Cell lengths 4.581, 4.581, 6.473 Å; angles 90.00, 90.00, 90.00 degrees
Fractional coordinates of all 4 atoms:
1 Pb 0.000 0.000 0.375
2 Sb 0.500 0.500 0.875
3 La 0.000 0.000 0.875
4 La 0.500 0.500 0.375

As for the magnetization: 0.00 Bohr magnetons per cell. The formation energy (no corrections) is -1085 meV per atom. The calculation puts the uncorrected energy at -50.898 eV/atom. As for the density of states at the Fermi level: 2.72 states/eV per cell.

---

Compound: LaSb2Pb
Source: Alexandria via LeMat-Bulk
Functional: meta-GGA SCAN
Structure: single point on PBEsol structure

Cell lengths 4.567, 4.571, 6.312 Å; angles 111.42, 111.21, 90.00 degrees
Fractional coordinates of all 4 atoms:
1 Pb 0.250 0.749 0.500
2 Sb 0.000 0.000 0.000
3 Sb 0.750 0.251 0.500
4 La 0.500 0.500 0.000

As for the magnetization: 0.00 Bohr magnetons per cell. The formation energy (no corrections) is -645 meV per atom. The calculation puts the uncorrected energy at -48.997 eV/atom. As for the density of states at the Fermi level: 2.32 states/eV per cell.